Record 1
PBE Pu4GaIr4, optimized geometry; DFT formation energy = -0.12 eV/atom; Fermi-level density of states = 15.8 states/eV/f.u.
1.0
-4.028 4.028 2.368
4.028 -4.028 2.368
4.028 4.028 -2.368
Pu Ga Ir
4 1 4
direct
0.138 0.840 0.979 Pu
0.160 0.138 0.298 Pu
0.840 0.862 0.702 Pu
0.862 0.160 0.021 Pu
0.500 0.500 0.000 Ga
0.163 0.515 0.678 Ir
0.485 0.163 0.648 Ir
0.515 0.837 0.352 Ir
0.837 0.485 0.322 Ir

---

Record 2
PBE NaPuRhAu, optimized geometry; DFT formation energy = -0.13 eV/atom; Fermi-level density of states = 9.8 states/eV/f.u.
1.0
6.901 0.000 0.000
0.000 6.901 0.000
0.000 0.000 6.901
Na Pu Rh Au
4 4 4 4
direct
0.000 0.000 0.000 Na
0.000 0.500 0.500 Na
0.500 0.000 0.500 Na
0.500 0.500 0.000 Na
0.000 0.000 0.500 Pu
0.000 0.500 0.000 Pu
0.500 0.000 0.000 Pu
0.500 0.500 0.500 Pu
0.250 0.250 0.250 Rh
0.250 0.750 0.750 Rh
0.750 0.250 0.750 Rh
0.750 0.750 0.250 Rh
0.250 0.250 0.750 Au
0.250 0.750 0.250 Au
0.750 0.250 0.250 Au
0.750 0.750 0.750 Au

---

Record 3
PBE RuF, optimized geometry; energy = -11.22 eV/f.u.; Fermi-level density of states = 1.5 states/eV/f.u.
1.0
7.379 0.000 0.000
0.000 7.379 0.000
0.000 0.000 2.713
Ru F
4 4
direct
0.106 0.106 0.000 Ru
0.394 0.606 0.500 Ru
0.606 0.394 0.500 Ru
0.894 0.894 0.000 Ru
0.228 0.772 0.000 F
0.272 0.272 0.500 F
0.728 0.728 0.500 F
0.772 0.228 0.000 F

---

Record 4
PBE GeAs2CBr, optimized geometry; energy = -15.21 eV/f.u.; Fermi-level density of states = 5.3 states/eV/f.u.
1.0
5.052 0.000 0.000
0.000 5.052 0.000
0.000 0.000 5.160
Ge As C Br
1 2 1 1
direct
0.000 0.000 0.000 Ge
0.000 0.500 0.000 As
0.500 0.000 0.000 As
0.500 0.500 0.500 C
0.000 0.000 0.500 Br

---

Record 5
PBE NaZn4Ga8, optimized geometry; DFT formation energy = 0.13 eV/atom; Fermi-level density of states = 3.5 states/eV/f.u.
1.0
4.227 2.440 4.275
-4.227 2.440 4.275
0.000 -4.881 4.275
Na Zn Ga
1 4 8
direct
0.000 0.000 0.000 Na
0.000 0.500 0.500 Zn
0.500 0.000 0.500 Zn
0.500 0.500 0.000 Zn
0.500 0.500 0.500 Zn
0.205 0.719 0.719 Ga
0.234 0.234 0.234 Ga
0.281 0.281 0.795 Ga
0.281 0.795 0.281 Ga
0.719 0.205 0.719 Ga
0.719 0.719 0.205 Ga
0.766 0.766 0.766 Ga
0.795 0.281 0.281 Ga

---

Record 6
PBE Sr2AcH, optimized geometry; energy = -11.23 eV/f.u.; Fermi-level density of states = 2.8 states/eV/f.u.
1.0
4.006 0.000 0.000
-2.003 3.469 0.000
0.000 0.000 30.302
Sr Ac H
6 3 3
direct
0.000 0.000 0.221 Sr
0.000 0.000 0.779 Sr
0.333 0.667 0.446 Sr
0.333 0.667 0.887 Sr
0.667 0.333 0.113 Sr
0.667 0.333 0.554 Sr
0.000 0.000 0.000 Ac
0.333 0.667 0.667 Ac
0.667 0.333 0.333 Ac
0.000 0.000 0.500 H
0.333 0.667 0.167 H
0.667 0.333 0.833 H

---

Record 7
PBE LiTlS2, optimized geometry; energy = -14.59 eV/f.u.; Fermi-level density of states = 0.0 states/eV/f.u.
1.0
6.692 0.000 0.000
0.000 3.871 0.000
-2.228 0.000 6.239
Li Tl S
2 2 4
direct
0.000 0.000 0.000 Li
0.500 0.500 0.000 Li
0.000 0.500 0.500 Tl
0.500 0.000 0.500 Tl
0.246 0.500 0.246 S
0.254 0.000 0.754 S
0.746 0.000 0.246 S
0.754 0.500 0.754 S

---

Record 8
PBE CeIn2Hg, optimized geometry; DFT formation energy = -0.19 eV/atom; Fermi-level density of states = 7.5 states/eV/f.u.
1.0
4.827 0.000 0.000
-2.413 4.180 0.000
0.000 0.000 16.072
Ce In Hg
3 6 3
direct
0.000 0.000 0.000 Ce
0.333 0.667 0.667 Ce
0.667 0.333 0.333 Ce
0.000 0.000 0.231 In
0.000 0.000 0.769 In
0.333 0.667 0.436 In
0.333 0.667 0.898 In
0.667 0.333 0.102 In
0.667 0.333 0.564 In
0.000 0.000 0.500 Hg
0.333 0.667 0.167 Hg
0.667 0.333 0.833 Hg

---

Record 9
PBE AlZn4, optimized geometry; DFT formation energy = 0.03 eV/atom; Fermi-level density of states = 1.0 states/eV/f.u.
1.0
8.441 0.000 0.000
0.000 3.827 0.000
-3.676 0.000 4.863
Al Zn
2 8
direct
0.000 0.000 0.000 Al
0.500 0.500 0.000 Al
0.100 0.500 0.401 Zn
0.198 0.000 0.795 Zn
0.302 0.500 0.205 Zn
0.400 0.000 0.599 Zn
0.600 0.000 0.401 Zn
0.698 0.500 0.795 Zn
0.802 0.000 0.205 Zn
0.900 0.500 0.599 Zn

---

Record 10
PBE Mo3Pb, optimized geometry; DFT formation energy = 0.61 eV/atom; Fermi-level density of states = 3.4 states/eV/f.u.
1.0
6.546 0.000 0.000
0.000 6.546 0.000
0.000 0.000 6.546
Mo Pb
12 4
direct
0.000 0.000 0.000 Mo
0.000 0.500 0.500 Mo
0.250 0.250 0.250 Mo
0.250 0.250 0.750 Mo
0.250 0.750 0.250 Mo
0.250 0.750 0.750 Mo
0.500 0.000 0.500 Mo
0.500 0.500 0.000 Mo
0.750 0.250 0.250 Mo
0.750 0.250 0.750 Mo
0.750 0.750 0.250 Mo
0.750 0.750 0.750 Mo
0.000 0.000 0.500 Pb
0.000 0.500 0.000 Pb
0.500 0.000 0.000 Pb
0.500 0.500 0.500 Pb

---

Record 11
PBE YTiCo3, optimized geometry; DFT formation energy = 1.52 eV/atom; Fermi-level density of states = 6.1 states/eV/f.u.
1.0
4.588 0.000 0.000
0.000 4.588 0.000
0.000 0.000 4.588
Y Ti Co
1 1 3
direct
0.000 0.000 0.000 Y
0.500 0.500 0.500 Ti
0.000 0.000 0.500 Co
0.000 0.500 0.000 Co
0.500 0.000 0.000 Co

---

Record 12
PBE RbLiSm2Te4, optimized geometry; energy = -35.62 eV/f.u.
1.0
2.284 -7.677 0.000
2.284 7.677 0.000
0.000 0.000 15.955
Rb Li Sm Te
2 2 4 8
direct
0.111 0.889 0.750 Rb
0.889 0.111 0.250 Rb
0.165 0.835 0.250 Li
0.835 0.165 0.750 Li
0.367 0.633 0.563 Sm
0.367 0.633 0.937 Sm
0.633 0.367 0.063 Sm
0.633 0.367 0.437 Sm
0.000 0.000 0.000 Te
0.000 0.000 0.500 Te
0.265 0.735 0.109 Te
0.265 0.735 0.391 Te
0.430 0.570 0.750 Te
0.570 0.430 0.250 Te
0.735 0.265 0.609 Te
0.735 0.265 0.891 Te

---

| no. | size of the total moment (μB/f.u.) |
| --- | --- |
| 1 | 0.01 |
| 2 | 4.88 |
| 3 | 1.71 |
| 4 | 0.38 |
| 5 | 0.00 |
| 6 | 0.00 |
| 7 | 0.00 |
| 8 | 0.94 |
| 9 | 0.00 |
| 10 | 0.00 |
| 11 | 2.08 |
| 12 | 0.00 |